Run 1
A plane-wave DFT calculation with PBE was carried out for a relaxed structure of LiAgAs2.

extended XYZ file:
```
4
Lattice="2.7995 0.0000 0.0000 0.0000 2.7995 0.0000 0.0000 0.0000 9.2121" Properties=species:S:1:pos:R:3 pbc="T T T"
Li 0.0000 0.0000 0.0000
Ag 1.3997 1.3997 2.1089
As 0.0000 0.0000 4.3326
As 1.3997 1.3997 7.3154
```

Run 2
A plane-wave DFT calculation with PBE was carried out for a relaxed structure of LiAgAs2.

extended XYZ file:
```
4
Lattice="0.0000 3.3064 3.3064 3.3064 0.0000 3.3064 3.3064 3.3064 0.0000" Properties=species:S:1:pos:R:3 pbc="T T T"
Li 0.0000 0.0000 0.0000
Ag 3.3064 3.3064 3.3064
As 1.6532 1.6532 1.6532
As 4.9596 4.9596 4.9596
```

run 2 ends up most stable, edging out the next structure by 24 meV/atom.